A geometry-optimized ZnCu6Au3 structure. Source: the Alexandria database, functional PBE-GGA.

a b c (Å): 4.2128 9.0235 10.4080
angles (deg): 134.67 90.00 90.00
Fractional positions:
Au1 0.7500 0.2467 0.2422
Cu1 0.7500 0.2438 0.7701
Au2 0.2500 0.5570 0.3444
Au3 0.7500 0.4430 0.6556
Cu2 0.2500 0.3479 0.4459
Au4 0.2500 0.7533 0.7578
Cu3 0.2500 0.7562 0.2299
Cu4 0.7500 0.4288 0.1221
Cu5 0.7500 0.8461 0.9604
Cu6 0.2500 0.9655 0.1492
Au5 0.2500 0.1536 0.5565
Cu7 0.7500 0.0345 0.8508
Cu8 0.2500 0.1539 0.0396
Au6 0.7500 0.8464 0.4435
Cu9 0.7500 0.6521 0.5541
Cu10 0.2500 0.5712 0.8779
Zn1 0.7500 0.6449 0.0472
Zn2 0.2500 0.3551 0.9528
Cu11 0.7500 0.0349 0.3291
Cu12 0.2500 0.9651 0.6709

Properties
Formation enthalpy at 0 K (eV/atom): -0.037


A geometry-optimized Zn8CuAu2 structure. Source: the Alexandria database, functional PBE-GGA.

a b c (Å): 4.5038 4.8013 8.2367
angles (deg): 98.90 105.87 90.00
Fractional positions:
Zn1 0.5804 0.5512 0.1607
Zn2 0.3356 0.8901 0.6712
Zn3 0.7567 0.6603 0.5134
Cu1 0.5000 0.0000 0.0000
Zn4 0.0521 0.2466 0.1042
Zn5 0.9479 0.7534 0.8958
Zn6 0.6644 0.1099 0.3288
Zn7 0.2433 0.3397 0.4866
Zn8 0.4196 0.4488 0.8393
Au1 0.1532 0.7935 0.3063
Au2 0.8468 0.2065 0.6937

Properties
ΔE to the lowest computed polymorph (meV per atom): 0
Formation enthalpy at 0 K (eV/atom): -0.088


A geometry-optimized Zn5Cu2Au2 structure. Source: the Alexandria database, functional PBE-GGA.

a b c (Å): 2.7997 7.3644 6.7640
angles (deg): 82.98 89.98 100.93
Fractional positions:
Au1 0.5754 0.1503 0.2891
Zn1 0.9018 0.8036 0.3632
Zn2 0.0000 0.0000 0.0000
Cu1 0.8220 0.6455 0.0292
Zn3 0.7573 0.5143 0.6802
Au2 0.4246 0.8497 0.7109
Zn4 0.0982 0.1964 0.6368
Cu2 0.1780 0.3545 0.9708
Zn5 0.2427 0.4857 0.3198

Properties
ΔE to the lowest computed polymorph (meV per atom): 0
Formation enthalpy at 0 K (eV/atom): -0.078


A geometry-optimized ZnCu6Au12 structure. Source: the Alexandria database, functional PBE-GGA.

a b c (Å): 7.1735 7.1735 7.1735
angles (deg): 103.40 103.40 103.40
Fractional positions:
Au1 0.0314 0.1495 0.6876
Cu1 0.8175 0.5675 0.7410
Au2 0.5245 0.6395 0.1811
Cu2 0.4325 0.2590 0.1825
Cu3 0.2590 0.1825 0.4325
Cu4 0.7410 0.8175 0.5675
Cu5 0.1825 0.4325 0.2590
Au3 0.6395 0.1811 0.5245
Au4 0.6876 0.0314 0.1495
Zn1 0.0000 0.0000 0.0000
Cu6 0.5675 0.7410 0.8175
Au5 0.4755 0.3605 0.8189
Au6 0.1495 0.6876 0.0314
Au7 0.9686 0.8505 0.3124
Au8 0.8189 0.4755 0.3605
Au9 0.8505 0.3124 0.9686
Au10 0.1811 0.5245 0.6395
Au11 0.3124 0.9686 0.8505
Au12 0.3605 0.8189 0.4755

Properties
ΔE to the lowest computed polymorph (meV per atom): 124
Formation enthalpy at 0 K (eV/atom): 0.088


A geometry-optimized Zr2ZnCuAu structure. Source: the Alexandria database, functional PBE-GGA.

a b c (Å): 4.8602 4.6837 4.8602
angles (deg): 90.00 90.00 90.00
Fractional positions:
Au1 0.0000 0.5000 0.0000
Zr1 0.0000 0.0000 0.5000
Zr2 0.5000 0.0000 0.0000
Cu1 0.0000 0.0000 0.0000
Zn1 0.5000 0.5000 0.5000

Properties
Formation enthalpy at 0 K (eV/atom): 0.447


A geometry-optimized ZrZn2CuAu2 structure. Source: the Alexandria database, functional PBE-GGA.

a b c (Å): 4.4637 4.4637 5.8885
angles (deg): 90.00 90.00 120.00
Fractional positions:
Au1 0.3333 0.6667 0.2393
Zn1 0.6667 0.3333 0.3009
Au2 0.6667 0.3333 0.7607
Zn2 0.3333 0.6667 0.6991
Cu1 0.0000 0.0000 0.5000
Zr1 0.0000 0.0000 0.0000

Properties
Formation enthalpy at 0 K (eV/atom): -0.288